Al2TeCl (GGA-PBE, optimized geometry); formation energy (no corrections) = 0.0074 eV/atom; energy above the most stable polymorph in this dataset = 0.439 eV per atom; space-group type = Cmmm
1.0
3.1691 -0.0544 0.0000
-1.4603 2.8132 0.0000
0.0000 0.0000 10.1804
Cl Al Te
1 2 1
Cartesian
0.8544 1.3794 2.5451
0.0000 0.0000 4.7178
0.0000 0.0000 0.3724
0.8544 1.3794 7.6353